Entry 1:
The following is a PBE calculation of RbThWN4 after structural relaxation, from Alexandria via LeMat-Bulk.

Calculated values
DOS(E_F) = 0.34 states/eV/atom
formation energy (no corrections) = -61.3 kJ per mole of atoms
E = -8.441 eV per atom
space group = P2_1/m, No. 11

Cell lengths 6.3489, 6.1241, 8.1381 Å; angles 90.00, 105.24, 90.00 degrees
With the nearest neighbours (Å) after each atom.
Fractional coordinates of all 14 atoms:
N  0.5375  0.2500  0.4395  1 W 1.85
N  0.9305  0.0156  0.6591  1 W 1.89
Rb  0.6886  0.7500  0.9201  2 N 2.90-3.07
N  0.4678  0.7500  0.2140  1 W 1.89
W  0.7348  0.2500  0.6524  4 N 1.85-1.89
W  0.2652  0.7500  0.3476  4 N 1.85-1.89
Th  0.2048  0.2500  0.5538  6 N 2.37-2.57
Rb  0.3114  0.2500  0.0799  2 N 2.90-3.07
N  0.4625  0.7500  0.5605  1 W 1.85
N  0.5322  0.2500  0.7860  1 W 1.89
N  0.0695  0.9844  0.3409  1 W 1.89
Th  0.7952  0.7500  0.4462  6 N 2.37-2.57
N  0.9305  0.4844  0.6591  1 W 1.89
N  0.0695  0.5156  0.3409  1 W 1.89

=====

Entry 2:
The following is a PBE calculation of Dy3TmMg2 after structural relaxation, from Alexandria via LeMat-Bulk.

Calculated values
DOS(E_F) = 1.42 states/eV/atom
ΔH_f (0 K) = -20 kJ/mol of formula units
E = -3.612 eV per atom
space group = P4/mmm, No. 123

Cell lengths 3.6521, 3.6521, 12.8145 Å; angles 90.00, 90.00, 90.00 degrees
With the nearest neighbours (Å) after each atom.
Fractional coordinates of all 6 atoms:
Tm  0.5000  0.5000  0.5000  8 Dy 3.52, 4 Tm 3.65
Dy  0.0000  0.0000  0.6862  4 Mg 3.29, 4 Tm 3.52, 4 Dy 3.65
Dy  0.0000  0.0000  0.3138  4 Mg 3.29, 4 Tm 3.52, 4 Dy 3.65
Mg  0.5000  0.5000  0.1548  8 Dy 3.26-3.29
Mg  0.5000  0.5000  0.8452  8 Dy 3.26-3.29
Dy  0.0000  0.0000  0.0000  8 Mg 3.26

=====

Entry 3:
The following is a PBE calculation of TaFeSi after structural relaxation, from Alexandria via LeMat-Bulk.

Calculated values
DOS(E_F) = 0.74 states/eV/atom
formation energy (no corrections) = -57.2 kJ per mole of atoms
E = -9.172 eV per atom
space group = P2_1/m, No. 11

Cell lengths 3.6827, 6.2531, 10.5837 Å; angles 89.70, 90.00, 90.00 degrees
With the nearest neighbours (Å) after each atom.
Fractional coordinates of all 18 atoms:
Fe  0.7500  0.0046  0.9121  4 Si 2.37-2.40, 3 Fe 2.57-2.62
Si  0.2500  0.7659  0.9097  5 Fe 2.33-2.38, 1 Ta 2.60
Ta  0.2500  0.3448  0.9240  5 Si 2.64, 3 Fe 2.78-2.82
Ta  0.2500  0.9890  0.7019  5 Si 2.60-2.64, 5 Fe 2.68-2.89
Si  0.2500  0.7242  0.2493  3 Fe 2.36-2.40, 6 Ta 2.62-2.64
Fe  0.2500  0.8548  0.4579  4 Si 2.28-2.36
Ta  0.7500  0.0110  0.2981  5 Si 2.60-2.64, 5 Fe 2.68-2.89
Fe  0.7500  0.1452  0.5421  4 Si 2.28-2.36
Si  0.2500  0.2251  0.4239  4 Fe 2.28-2.44
Si  0.7500  0.2758  0.7507  3 Fe 2.36-2.40, 6 Ta 2.62-2.64
Si  0.7500  0.7749  0.5761  4 Fe 2.28-2.44
Fe  0.2500  0.9954  0.0879  4 Si 2.37-2.40, 3 Fe 2.57-2.62
Ta  0.7500  0.6552  0.0760  5 Si 2.64, 3 Fe 2.78-2.82
Ta  0.7500  0.5163  0.3782  5 Si 2.63-2.65, 5 Fe 2.79-2.93
Fe  0.2500  0.3534  0.2057  4 Si 2.33-2.44, 1 Fe 2.57
Fe  0.7500  0.6466  0.7943  4 Si 2.33-2.44, 1 Fe 2.57
Si  0.7500  0.2341  0.0903  5 Fe 2.33-2.38, 1 Ta 2.60
Ta  0.2500  0.4837  0.6218  5 Si 2.63-2.65, 5 Fe 2.79-2.93

=====

Entry 4:
The following is a PBE calculation of Nd2MgGa2Rh5 after structural relaxation, from Alexandria via LeMat-Bulk.

Calculated values
DOS(E_F) = 0.47 states/eV/atom
ΔH_f (0 K) = -653 kJ/mol of formula units
E = -6.071 eV per atom
space group = P4/mbm, No. 127

Cell lengths 3.5662, 10.0311, 10.0311 Å; angles 90.00, 90.00, 90.00 degrees
With the nearest neighbours (Å) after each atom.
Fractional coordinates of all 20 atoms:
Ga  0.0000  0.6233  0.8767  6 Rh 2.50-2.52
Nd  0.0000  0.8250  0.6750  3 Ga 2.86-3.04, 6 Rh 3.06-3.16
Rh  0.5000  0.9331  0.2081  2 Ga 2.52
Rh  0.5000  0.7919  0.9331  2 Ga 2.52
Rh  0.5000  0.5669  0.7081  2 Ga 2.52
Mg  0.0000  0.0000  0.0000  8 Rh 2.83
Rh  0.5000  0.2919  0.5669  2 Ga 2.52
Mg  0.0000  0.5000  0.5000  8 Rh 2.83
Rh  0.5000  0.2081  0.0669  2 Ga 2.52
Rh  0.5000  0.0669  0.7919  2 Ga 2.52
Nd  0.0000  0.1750  0.3250  3 Ga 2.86-3.04, 6 Rh 3.06-3.16
Rh  0.5000  0.0000  0.5000  4 Ga 2.50
Nd  0.0000  0.6750  0.1750  3 Ga 2.86-3.04, 6 Rh 3.06-3.16
Ga  0.0000  0.1233  0.6233  6 Rh 2.50-2.52
Rh  0.5000  0.5000  0.0000  4 Ga 2.50
Nd  0.0000  0.3250  0.8250  3 Ga 2.86-3.04, 6 Rh 3.06-3.16
Ga  0.0000  0.8767  0.3767  6 Rh 2.50-2.52
Ga  0.0000  0.3767  0.1233  6 Rh 2.50-2.52
Rh  0.5000  0.4331  0.2919  2 Ga 2.52
Rh  0.5000  0.7081  0.4331  2 Ga 2.52

=====

Entry 5:
The following is a PBE calculation of Ce4S3 after structural relaxation, from Alexandria via LeMat-Bulk.

Calculated values
DOS(E_F) = 2.72 states/eV/atom
formation energy (no corrections) = -156.8 kJ per mole of atoms
E = -6.785 eV per atom
space group = R-3m, No. 166

Cell lengths 3.9395, 3.9395, 13.3309 Å; angles 81.50, 81.50, 60.00 degrees
With the nearest neighbours (Å) after each atom.
Fractional coordinates of all 7 atoms:
S  0.7519  0.7519  0.7444  6 Ce 2.81-2.82
Ce  0.3763  0.3763  0.8711  6 S 2.82-2.84
S  0.2481  0.2481  0.2556  6 Ce 2.81-2.82
Ce  0.8728  0.8728  0.3817  3 S 2.81
S  0.0000  0.0000  0.0000  6 Ce 2.84
Ce  0.1272  0.1272  0.6183  3 S 2.81
Ce  0.6237  0.6237  0.1289  6 S 2.82-2.84

=====

Entry 6:
The following is a PBE calculation of Rb2NpFeS4 after structural relaxation, from Alexandria via LeMat-Bulk.

Calculated values
DOS(E_F) = 1.51 states/eV/atom
formation energy (no corrections) = -85.2 kJ per mole of atoms
E = -5.864 eV per atom
space group = Pmmn, No. 59

Cell lengths 7.4760, 8.0599, 8.6285 Å; angles 90.00, 90.00, 90.00 degrees
With the nearest neighbours (Å) after each atom.
Fractional coordinates of all 16 atoms:
Fe  0.5000  0.8140  0.5000  4 S 2.28-2.29
Np  0.5000  0.8061  0.0000  4 S 2.55-2.64
Np  0.0000  0.1941  0.5000  4 S 2.55-2.64
S  0.7378  0.9924  0.5000  1 Fe 2.29, 1 Np 2.55
S  0.2378  0.0077  0.0000  1 Fe 2.29, 1 Np 2.55
Rb  0.0001  0.7529  0.7470  5 S 3.37-3.48
Rb  0.5001  0.2471  0.2471  5 S 3.37-3.48
S  0.9998  0.3358  0.2240  1 Fe 2.28
Fe  0.0000  0.1861  0.0000  4 S 2.28-2.29
Rb  0.5001  0.2471  0.7529  5 S 3.37-3.48
S  0.2623  0.9926  0.5000  1 Fe 2.29, 1 Np 2.55
S  0.4998  0.6640  0.7240  1 Fe 2.28
S  0.9998  0.3358  0.7760  1 Fe 2.28
S  0.4998  0.6640  0.2760  1 Fe 2.28
Rb  0.0001  0.7529  0.2530  5 S 3.37-3.48
S  0.7624  0.0074  0.0000  1 Fe 2.29, 1 Np 2.55

=====

Entry 7:
The following is a PBE calculation of Pm8SmSc2 after structural relaxation, from Alexandria via LeMat-Bulk.

Calculated values
DOS(E_F) = 1.37 states/eV/atom
ΔH_f (0 K) = 166 kJ/mol of formula units
E = -4.879 eV per atom
relative energy among the computed polymorphs = 34.4 meV per atom
space group = C2/m, No. 12

Cell lengths 5.8965, 9.0112, 9.2430 Å; angles 60.83, 74.86, 57.61 degrees
With the nearest neighbours (Å) after each atom.
Fractional coordinates of all 11 atoms:
Pm  0.8274  0.0972  0.2399  5 Pm 3.29-3.64, 2 Sc 3.40-3.48
Sc  0.0000  0.6902  0.6196  8 Pm 3.37-3.48
Sc  0.0000  0.3098  0.3804  8 Pm 3.37-3.48
Pm  0.7067  0.5781  0.0000  3 Pm 2.95-3.29
Pm  0.5000  0.7917  0.4166  1 Sm 3.36, 2 Sc 3.37, 6 Pm 3.55-3.69
Pm  0.8274  0.3372  0.7601  5 Pm 3.29-3.64, 2 Sc 3.40-3.48
Pm  0.1726  0.6628  0.2399  5 Pm 3.29-3.64, 2 Sc 3.40-3.48
Pm  0.5000  0.2083  0.5834  1 Sm 3.36, 2 Sc 3.37, 6 Pm 3.55-3.69
Pm  0.1726  0.9028  0.7601  5 Pm 3.29-3.64, 2 Sc 3.40-3.48
Pm  0.2933  0.4219  0.0000  3 Pm 2.95-3.29
Sm  0.5000  0.0000  0.0000  4 Pm 3.31-3.36

=====

Entry 8:
The following is a PBE calculation of Sm3HoN4 after structural relaxation, from Alexandria via LeMat-Bulk.

Calculated values
DOS(E_F) = 0.16 states/eV/atom
formation energy (no corrections) = -147.6 kJ per mole of atoms
E = -8.034 eV per atom
relative energy among the computed polymorphs = 6.8 meV per atom
space group = Pm-3m, No. 221

Cell lengths 5.0294, 5.0294, 5.0294 Å; angles 90.00, 90.00, 90.00 degrees
With the nearest neighbours (Å) after each atom.
Fractional coordinates of all 8 atoms:
Sm  0.5000  0.0000  0.5000  6 N 2.51
Ho  0.0000  0.0000  0.0000  6 N 2.51
Sm  0.0000  0.5000  0.5000  6 N 2.51
N  0.0000  0.5000  0.0000  2 Ho 2.51, 4 Sm 2.51
N  0.5000  0.0000  0.0000  4 Sm 2.51, 2 Ho 2.51
N  0.5000  0.5000  0.5000  6 Sm 2.51
Sm  0.5000  0.5000  0.0000  6 N 2.51
N  0.0000  0.0000  0.5000  4 Sm 2.51, 2 Ho 2.51

=====

Entry 9:
The following is a PBE calculation of Rb2PW after structural relaxation, from Alexandria via LeMat-Bulk.

Calculated values
DOS(E_F) = 0.32 states/eV/atom
ΔH_f (0 K) = 259 kJ/mol of formula units
E = -4.404 eV per atom
space group = I-42d, No. 122

Cell lengths 13.3045, 13.3045, 9.6960 Å; angles 46.68, 46.68, 90.00 degrees
With the nearest neighbours (Å) after each atom.
Fractional coordinates of all 8 atoms:
P  0.2500  0.7500  0.5000  2 W 2.35
W  0.0000  0.0000  0.0000  2 P 2.35
Rb  0.8750  0.6722  0.7500  2 P 3.44, 2 W 3.82
P  0.5000  0.5000  0.0000  2 W 2.35
Rb  0.4222  0.1250  0.2500  2 P 3.44, 2 W 3.82
W  0.7500  0.2500  0.5000  2 P 2.35
Rb  0.3750  0.5778  0.7500  2 P 3.44, 2 W 3.82
Rb  0.3278  0.6250  0.2500  2 P 3.44, 2 W 3.82

=====

Entry 10:
The following is a PBE calculation of Ac4InPb after structural relaxation, from Alexandria via LeMat-Bulk.

Calculated values
DOS(E_F) = 1.35 states/eV/atom
ΔH_f (0 K) = -167 kJ/mol of formula units
E = -4.102 eV per atom
relative energy among the computed polymorphs = 0.0 meV per atom
space group = P4/mcc, No. 124

Cell lengths 6.9476, 8.3071, 8.3071 Å; angles 90.00, 90.00, 90.00 degrees
With the nearest neighbours (Å) after each atom.
Fractional coordinates of all 12 atoms:
Ac  0.5000  0.1649  0.3402  2 In 3.54, 2 Pb 3.59, 1 Ac 3.82
Ac  0.0000  0.6598  0.8351  2 In 3.54, 2 Pb 3.59, 1 Ac 3.82
Pb  0.2500  0.0000  0.0000  2 Pb 3.47, 8 Ac 3.59
Ac  0.0000  0.3402  0.1649  2 In 3.54, 2 Pb 3.59, 1 Ac 3.82
Ac  0.5000  0.3402  0.8351  2 In 3.54, 2 Pb 3.59, 1 Ac 3.82
Ac  0.0000  0.1649  0.6598  2 In 3.54, 2 Pb 3.59, 1 Ac 3.82
Ac  0.5000  0.6598  0.1649  2 In 3.54, 2 Pb 3.59, 1 Ac 3.82
Ac  0.5000  0.8351  0.6598  2 In 3.54, 2 Pb 3.59, 1 Ac 3.82
Ac  0.0000  0.8351  0.3402  2 In 3.54, 2 Pb 3.59, 1 Ac 3.82
Pb  0.7500  0.0000  0.0000  2 Pb 3.47, 8 Ac 3.59
In  0.7500  0.5000  0.5000  2 In 3.47, 8 Ac 3.54
In  0.2500  0.5000  0.5000  2 In 3.47, 8 Ac 3.54

=====

Question: Number 2 is which compound?
Answer: Dy3TmMg2

=====

What did the tenth record say?
The following is a PBE calculation of Ac4InPb after structural relaxation, from Alexandria via LeMat-Bulk.

Calculated values
DOS(E_F) = 1.35 states/eV/atom
ΔH_f (0 K) = -167 kJ/mol of formula units
E = -4.102 eV per atom
relative energy among the computed polymorphs = 0.0 meV per atom
space group = P4/mcc, No. 124

Cell lengths 6.9476, 8.3071, 8.3071 Å; angles 90.00, 90.00, 90.00 degrees
With the nearest neighbours (Å) after each atom.
Fractional coordinates of all 12 atoms:
Ac  0.5000  0.1649  0.3402  2 In 3.54, 2 Pb 3.59, 1 Ac 3.82
Ac  0.0000  0.6598  0.8351  2 In 3.54, 2 Pb 3.59, 1 Ac 3.82
Pb  0.2500  0.0000  0.0000  2 Pb 3.47, 8 Ac 3.59
Ac  0.0000  0.3402  0.1649  2 In 3.54, 2 Pb 3.59, 1 Ac 3.82
Ac  0.5000  0.3402  0.8351  2 In 3.54, 2 Pb 3.59, 1 Ac 3.82
Ac  0.0000  0.1649  0.6598  2 In 3.54, 2 Pb 3.59, 1 Ac 3.82
Ac  0.5000  0.6598  0.1649  2 In 3.54, 2 Pb 3.59, 1 Ac 3.82
Ac  0.5000  0.8351  0.6598  2 In 3.54, 2 Pb 3.59, 1 Ac 3.82
Ac  0.0000  0.8351  0.3402  2 In 3.54, 2 Pb 3.59, 1 Ac 3.82
Pb  0.7500  0.0000  0.0000  2 Pb 3.47, 8 Ac 3.59
In  0.7500  0.5000  0.5000  2 In 3.47, 8 Ac 3.54
In  0.2500  0.5000  0.5000  2 In 3.47, 8 Ac 3.54

=====

Question: Look up the DOS(E_F) of the eighth one.
Answer: 0.16 states/eV/atom